VASP calculation (PBE) on a relaxed structure of Ho3Sc2Pb4.

The structure in POSCAR format:
```
Ho3Sc2Pb4
1.0
7.857 -2.465 0.000
7.857 2.465 0.000
-1.947 0.000 6.465
Ho Sc Pb
3 2 4
Direct
0.000 0.000 0.000
0.120 0.120 0.596
0.880 0.880 0.404
0.331 0.331 0.943
0.669 0.669 0.057
0.235 0.235 0.271
0.489 0.489 0.717
0.511 0.511 0.283
0.765 0.765 0.729
```

Calculated values
The symmetry is C2/m (12). The energy of formation from the pure elements is -0.3956 eV per atom. The calculation puts the relative energy among the computed polymorphs at 0.07 eV/f.u.

---

VASP calculation (PBE) on a relaxed structure of LaCd2Pb.

The structure in POSCAR format:
```
LaCd2Pb
1.0
3.764 0.000 0.000
0.000 3.764 0.000
0.000 0.000 7.877
La Cd Pb
1 2 1
Direct
0.000 0.000 0.000
0.000 0.000 0.537
0.500 0.500 0.729
0.500 0.500 0.290
```

Calculated values
The symmetry is P4mm (99). The energy of formation from the pure elements is -0.2198 eV per atom.

---

VASP calculation (PBE) on a relaxed structure of Ca2Co2S.

The structure in POSCAR format:
```
Ca2Co2S
1.0
-1.702 1.702 8.277
1.702 -1.702 8.277
1.702 1.702 -8.277
Ca Co S
2 2 1
Direct
0.101 0.101 0.000
0.899 0.899 0.000
0.250 0.750 0.500
0.750 0.250 0.500
0.500 0.500 0.000
```

Calculated values
The symmetry is I4/mmm (139). The calculation puts the relative energy among the computed polymorphs at 0.00 eV/f.u. As for the uncorrected formation energy: -2.7 eV/f.u.

---

VASP calculation (PBE) on a relaxed structure of RbCrSb2Cl.

The structure in POSCAR format:
```
RbCrSb2Cl
1.0
5.921 0.000 0.000
0.000 5.921 0.000
0.000 0.000 4.650
Rb Cr Sb Cl
1 1 2 1
Direct
0.000 0.000 0.000
0.500 0.500 0.000
0.000 0.500 0.500
0.500 0.000 0.500
0.500 0.500 0.500
```

Calculated values
The symmetry is P4/mmm (123). As for the uncorrected formation energy: 2.3 eV/f.u.

---

VASP calculation (PBE) on a relaxed structure of Tb3Sc7Tl2.

The structure in POSCAR format:
```
Tb3Sc7Tl2
1.0
3.091 1.785 10.096
-3.091 1.785 10.096
0.000 -3.570 10.096
Tb Sc Tl
3 7 2
Direct
0.000 0.000 0.000
0.145 0.145 0.145
0.855 0.855 0.855
0.083 0.581 0.581
0.419 0.419 0.917
0.419 0.917 0.419
0.500 0.500 0.500
0.581 0.083 0.581
0.581 0.581 0.083
0.917 0.419 0.419
0.333 0.333 0.333
0.667 0.667 0.667
```

Calculated values
The symmetry is R-3m (166). The energy of formation from the pure elements is 0.0802 eV per atom.

---

VASP calculation (PBE) on a relaxed structure of UCo3Ni.

The structure in POSCAR format:
```
UCo3Ni
1.0
4.048 0.000 0.000
0.000 5.107 0.000
0.000 0.000 6.427
U Co Ni
2 6 2
Direct
0.250 0.250 0.217
0.750 0.750 0.783
0.250 0.019 0.747
0.250 0.481 0.747
0.250 0.750 0.069
0.750 0.250 0.931
0.750 0.519 0.253
0.750 0.981 0.253
0.250 0.750 0.436
0.750 0.250 0.564
```

Calculated values
The symmetry is Pmmn (59). The energy of formation from the pure elements is -0.0461 eV per atom.

---

VASP calculation (PBE) on a relaxed structure of Pa3SnN4.

The structure in POSCAR format:
```
Pa3SnN4
1.0
3.884 0.000 0.000
0.000 3.884 0.000
0.000 0.000 9.321
Pa Sn N
3 1 4
Direct
0.000 0.000 0.000
0.500 0.500 0.266
0.500 0.500 0.734
0.000 0.000 0.500
0.000 0.500 0.150
0.000 0.500 0.850
0.500 0.000 0.150
0.500 0.000 0.850
```

Calculated values
The symmetry is P4/mmm (123). As for the uncorrected formation energy: -12.4 eV/f.u.

---

VASP calculation (PBE) on a relaxed structure of RbNiSbI2.

The structure in POSCAR format:
```
RbNiSbI2
1.0
5.920 0.000 0.000
0.000 5.920 0.000
0.000 0.000 4.803
Rb Ni Sb I
1 1 1 2
Direct
0.000 0.000 0.000
0.500 0.500 0.500
0.500 0.500 0.000
0.000 0.500 0.500
0.500 0.000 0.500
```

Calculated values
The symmetry is P4/mmm (123). As for the uncorrected formation energy: -1.5 eV/f.u.

---

VASP calculation (PBE) on a relaxed structure of SrCdPbO4.

The structure in POSCAR format:
```
SrCdPbO4
1.0
-3.428 3.469 4.972
3.428 -3.469 4.972
3.428 3.469 -4.972
Sr Cd Pb O
2 2 2 8
Direct
0.365 0.115 0.250
0.635 0.885 0.750
0.000 0.500 0.500
0.500 0.500 0.000
0.000 0.000 0.500
0.000 0.500 0.000
0.210 0.745 0.466
0.218 0.241 0.523
0.218 0.696 0.977
0.221 0.255 0.966
0.779 0.745 0.034
0.782 0.304 0.023
0.782 0.759 0.477
0.790 0.255 0.534
```

Calculated values
The symmetry is Imma (74). As for the uncorrected formation energy: -10.6 eV/f.u.

---

VASP calculation (PBE) on a relaxed structure of La5Pr4Th.

The structure in POSCAR format:
```
La5Pr4Th
1.0
5.928 -2.824 0.000
5.928 2.824 0.000
-1.850 0.000 11.070
La Pr Th
5 4 1
Direct
0.000 0.000 0.000
0.273 0.273 0.400
0.323 0.323 0.058
0.677 0.677 0.942
0.727 0.727 0.600
0.145 0.145 0.767
0.437 0.437 0.721
0.563 0.563 0.279
0.855 0.855 0.233
0.000 0.000 0.500
```

Calculated values
The symmetry is C2/m (12). The energy of formation from the pure elements is 0.1573 eV per atom. The calculation puts the relative energy among the computed polymorphs at 1.36 eV/f.u.

---

VASP calculation (PBE) on a relaxed structure of KBaCa2.

The structure in POSCAR format:
```
KBaCa2
1.0
4.084 0.000 0.000
0.000 4.084 0.000
0.000 0.000 12.768
K Ba Ca
1 1 2
Direct
0.000 0.000 0.000
0.000 0.000 0.500
0.500 0.500 0.260
0.500 0.500 0.740
```

Calculated values
The symmetry is P4/mmm (123). The energy of formation from the pure elements is 0.1090 eV per atom. The calculation puts the relative energy among the computed polymorphs at 0.07 eV/f.u.

---

VASP calculation (PBE) on a relaxed structure of MgRh3F.

The structure in POSCAR format:
```
MgRh3F
1.0
4.663 0.000 0.000
0.000 4.663 0.000
0.000 0.000 4.663
Mg Rh F
1 3 1
Direct
0.000 0.000 0.000
0.000 0.000 0.500
0.000 0.500 0.000
0.500 0.000 0.000
0.500 0.500 0.500
```

Calculated values
The symmetry is Pm-3m (221). The calculation puts the relative energy among the computed polymorphs at 4.55 eV/f.u. As for the uncorrected formation energy: 6.3 eV/f.u.

---

VASP calculation (PBE) on a relaxed structure of In2HIr.

The structure in POSCAR format:
```
In2HIr
1.0
0.000 3.222 3.222
3.222 0.000 3.222
3.222 3.222 0.000
In H Ir
2 1 1
Direct
0.250 0.250 0.250
0.750 0.750 0.750
0.000 0.000 0.000
0.500 0.500 0.500
```

Calculated values
The symmetry is Fm-3m (225). The calculation puts the relative energy among the computed polymorphs at 1.72 eV/f.u.